[1]
Compound: LaSn2RuAu
Source: Alexandria via LeMat-Bulk
Functional: PBE-GGA
Structure: relaxed

Electronic total energy = -0.193 hartree per atom
Total magnetic moment = 0.003 Bohr magnetons per cell
Fermi-level density of states = 3.3 states/eV/cell
Formation energy from the elements = -147 meV per atom

```
data_LaSn2RuAu
_cell_length_a 5.013
_cell_length_b 5.013
_cell_length_c 5.269
_cell_angle_alpha 90.00
_cell_angle_beta 90.00
_cell_angle_gamma 90.00
_symmetry_space_group_name_H-M 'P 4/m m m'
_symmetry_Int_Tables_number 123
_symmetry_space_group_name_Hall '-P 4 2'
loop_
_atom_site_label
_atom_site_type_symbol
_atom_site_fract_x
_atom_site_fract_y
_atom_site_fract_z
La1 La 0.000 0.000 0.000
Sn1 Sn 0.000 0.500 0.500
Ru1 Ru 0.500 0.500 0.500
Au1 Au 0.500 0.500 0.000
```

***

[2]
Compound: Mg2H2Pb
Source: Alexandria via LeMat-Bulk
Functional: PBE-GGA
Structure: relaxed

Electronic total energy = -0.098 hartree per atom
Total magnetic moment = 0.000 Bohr magnetons per cell
Fermi-level density of states = 1.0 states/eV/cell

```
data_Mg2H2Pb
_cell_length_a 3.362
_cell_length_b 3.362
_cell_length_c 7.052
_cell_angle_alpha 90.00
_cell_angle_beta 90.00
_cell_angle_gamma 90.00
_symmetry_space_group_name_H-M 'P 4/m m m'
_symmetry_Int_Tables_number 123
_symmetry_space_group_name_Hall '-P 4 2'
loop_
_atom_site_label
_atom_site_type_symbol
_atom_site_fract_x
_atom_site_fract_y
_atom_site_fract_z
Mg1 Mg 0.000 0.000 0.189
H1 H 0.000 0.500 0.000
Pb1 Pb 0.500 0.500 0.500
```

***

[3]
Compound: Tl4In5Sn2
Source: Alexandria via LeMat-Bulk
Functional: PBE-GGA
Structure: relaxed

Electronic total energy = -0.101 hartree per atom
Total magnetic moment = 0.000 Bohr magnetons per cell
Fermi-level density of states = 3.3 states/eV/cell
Formation energy from the elements = 76 meV per atom

```
data_Tl4In5Sn2
_cell_length_a 4.678
_cell_length_b 8.256
_cell_length_c 9.478
_cell_angle_alpha 111.06
_cell_angle_beta 90.02
_cell_angle_gamma 90.01
_symmetry_space_group_name_H-M 'P -1'
_symmetry_Int_Tables_number 2
loop_
_symmetry_equiv_pos_as_xyz
'x,y,z'
'-x,-y,-z'
loop_
_atom_site_label
_atom_site_type_symbol
_atom_site_fract_x
_atom_site_fract_y
_atom_site_fract_z
Tl1 Tl 0.000 0.203 0.434
Tl2 Tl 0.000 0.217 0.934
In1 In 0.499 0.515 0.842
In2 In 0.500 0.134 0.658
In3 In 0.500 0.500 0.500
Sn1 Sn 0.500 0.118 0.166
```

***

[4]
Compound: HfZn4Cu
Source: Alexandria via LeMat-Bulk
Functional: PBE-GGA
Structure: relaxed

Electronic total energy = -0.121 hartree per atom
Total magnetic moment = 0.000 Bohr magnetons per cell
Fermi-level density of states = 2.6 states/eV/cell
Formation energy from the elements = -105 meV per atom

```
data_HfZn4Cu
_cell_length_a 2.993
_cell_length_b 3.001
_cell_length_c 10.211
_cell_angle_alpha 90.00
_cell_angle_beta 90.31
_cell_angle_gamma 90.00
_symmetry_space_group_name_H-M 'P 1 2/m 1'
_symmetry_Int_Tables_number 10
loop_
_symmetry_equiv_pos_as_xyz
'x,y,z'
'-x,-y,-z'
'-x,y,-z'
'x,-y,z'
loop_
_atom_site_label
_atom_site_type_symbol
_atom_site_fract_x
_atom_site_fract_y
_atom_site_fract_z
Hf1 Hf 0.000 0.000 0.000
Zn1 Zn 0.000 0.000 0.357
Zn2 Zn 0.497 0.500 0.805
Cu1 Cu 0.500 0.500 0.500
```

***

[5]
Compound: Ho4TcAg
Source: Alexandria via LeMat-Bulk
Functional: PBE-GGA
Structure: relaxed

Electronic total energy = -0.193 hartree per atom
Total magnetic moment = 0.000 Bohr magnetons per cell
Fermi-level density of states = 10.2 states/eV/cell
Formation energy from the elements = -2 meV per atom

```
data_Ho4TcAg
_cell_length_a 6.872
_cell_length_b 6.872
_cell_length_c 7.040
_cell_angle_alpha 90.00
_cell_angle_beta 90.06
_cell_angle_gamma 90.00
_symmetry_space_group_name_H-M 'C 1 2/m 1'
_symmetry_Int_Tables_number 12
loop_
_symmetry_equiv_pos_as_xyz
'x,y,z'
'-x,-y,-z'
'-x,y,-z'
'x,-y,z'
'x+1/2,y+1/2,z'
'-x+1/2,-y+1/2,-z'
'-x+1/2,y+1/2,-z'
'x+1/2,-y+1/2,z'
loop_
_atom_site_label
_atom_site_type_symbol
_atom_site_fract_x
_atom_site_fract_y
_atom_site_fract_z
Ho1 Ho 0.250 0.250 0.233
Tc1 Tc 0.000 0.000 0.000
Ag1 Ag 0.000 0.500 0.500
```

***

[6]
Compound: NaCa2Er
Source: Alexandria via LeMat-Bulk
Functional: PBE-GGA
Structure: relaxed

Electronic total energy = -0.081 hartree per atom
Total magnetic moment = 1.873 Bohr magnetons per cell
Fermi-level density of states = 12.1 states/eV/cell
Formation energy from the elements = 276 meV per atom

```
data_NaCa2Er
_cell_length_a 3.6096
_cell_length_b 3.6096
_cell_length_c 39.8608
_cell_angle_alpha 90.00
_cell_angle_beta 90.00
_cell_angle_gamma 120.00
_symmetry_space_group_name_H-M 'R -3 m'
_symmetry_Int_Tables_number 166
_symmetry_space_group_name_Hall '-R 3 2"'
loop_
_atom_site_label
_atom_site_type_symbol
_atom_site_fract_x
_atom_site_fract_y
_atom_site_fract_z
Na1 Na 0.0000 0.0000 0.0000
Ca1 Ca 0.0000 0.0000 0.4145
Er1 Er 0.0000 0.0000 0.5000
```

***

[7]
Compound: LaSm2CdAu4
Source: Alexandria via LeMat-Bulk
Functional: PBE-GGA
Structure: relaxed

Electronic total energy = -0.157 hartree per atom
Total magnetic moment = 0.000 Bohr magnetons per cell
Fermi-level density of states = 15.4 states/eV/cell
Formation energy from the elements = -717 meV per atom

```
data_LaSm2CdAu4
_cell_length_a 5.1478
_cell_length_b 5.1478
_cell_length_c 25.3913
_cell_angle_alpha 90.00
_cell_angle_beta 90.00
_cell_angle_gamma 120.00
_symmetry_space_group_name_H-M 'R -3 m'
_symmetry_Int_Tables_number 166
_symmetry_space_group_name_Hall '-R 3 2"'
loop_
_atom_site_label
_atom_site_type_symbol
_atom_site_fract_x
_atom_site_fract_y
_atom_site_fract_z
La1 La 0.0000 0.0000 0.0000
Sm1 Sm 0.0000 0.0000 0.2392
Cd1 Cd 0.0000 0.0000 0.5000
Au1 Au 0.0000 0.0000 0.1198
Au2 Au 0.0000 0.0000 0.3761
```

***

[8]
Compound: Na2CoSe2
Source: Alexandria via LeMat-Bulk
Functional: PBE-GGA
Structure: relaxed

Electronic total energy = -0.111 hartree per atom
Total magnetic moment = 4.000 Bohr magnetons per cell
Fermi-level density of states = 4.6 states/eV/cell
ΔE_f (raw) = 0.3110 eV/atom

```
data_Na2CoSe2
_cell_length_a 3.919
_cell_length_b 3.919
_cell_length_c 16.521
_cell_angle_alpha 90.00
_cell_angle_beta 90.00
_cell_angle_gamma 90.00
_symmetry_space_group_name_H-M 'I 4/m m m'
_symmetry_Int_Tables_number 139
_symmetry_space_group_name_Hall '-I 4 2'
loop_
_atom_site_label
_atom_site_type_symbol
_atom_site_fract_x
_atom_site_fract_y
_atom_site_fract_z
Na1 Na 0.000 0.000 0.108
Co1 Co 0.000 0.000 0.500
Se1 Se 0.000 0.500 0.250
```

***

[9]
Compound: DyScGe
Source: Alexandria via LeMat-Bulk
Functional: PBE-GGA
Structure: relaxed

Electronic total energy = -0.210 hartree per atom
Total magnetic moment = 0.000 Bohr magnetons per cell
Fermi-level density of states = 38.1 states/eV/cell
Formation energy from the elements = -523 meV per atom

```
data_DyScGe
_cell_length_a 6.206
_cell_length_b 14.644
_cell_length_c 9.209
_cell_angle_alpha 90.00
_cell_angle_beta 90.00
_cell_angle_gamma 90.00
_symmetry_space_group_name_H-M 'A m m 2'
_symmetry_Int_Tables_number 38
loop_
_symmetry_equiv_pos_as_xyz
'x,y,z'
'-x,-y,z'
'-x,y,z'
'x,-y,z'
'x,y+1/2,z+1/2'
'-x,-y+1/2,z+1/2'
'-x,y+1/2,z+1/2'
'x,-y+1/2,z+1/2'
loop_
_atom_site_label
_atom_site_type_symbol
_atom_site_fract_x
_atom_site_fract_y
_atom_site_fract_z
Dy1 Dy 0.000 0.000 0.000
Dy2 Dy 0.000 0.131 0.377
Dy3 Dy 0.500 0.000 0.558
Dy4 Dy 0.500 0.140 0.089
Sc1 Sc 0.252 0.157 0.751
Sc2 Sc 0.500 0.174 0.422
Ge1 Ge 0.000 0.000 0.659
Ge2 Ge 0.000 0.202 0.046
Ge3 Ge 0.297 0.000 0.270
Ge4 Ge 0.500 0.000 0.870
```

***

[10]
Compound: MgSbCl2
Source: Alexandria via LeMat-Bulk
Functional: PBE-GGA
Structure: relaxed

Electronic total energy = -0.127 hartree per atom
Total magnetic moment = 0.765 Bohr magnetons per cell
Fermi-level density of states = 6.1 states/eV/cell
ΔE_f (raw) = -1.0998 eV/atom

```
data_MgSbCl2
_cell_length_a 3.4732
_cell_length_b 3.4732
_cell_length_c 39.0399
_cell_angle_alpha 90.00
_cell_angle_beta 90.00
_cell_angle_gamma 120.00
_symmetry_space_group_name_H-M 'R -3 m'
_symmetry_Int_Tables_number 166
_symmetry_space_group_name_Hall '-R 3 2"'
loop_
_atom_site_label
_atom_site_type_symbol
_atom_site_fract_x
_atom_site_fract_y
_atom_site_fract_z
Mg1 Mg 0.0000 0.0000 0.0000
Sb1 Sb 0.0000 0.0000 0.5000
Cl1 Cl 0.0000 0.0000 0.2963
```